[1]
PBE-GGA RePH3, optimized geometry; spin magnetization = 0.00 μB/cell; relative energy among the computed polymorphs = 0.00 eV/f.u.; crystal system = cubic; mass density = 8.548 g/cm³
1.0
3.497 0.000 0.000
0.000 3.497 0.000
0.000 0.000 3.497
Re P H
1 1 3
direct
0.000 0.000 0.000 Re
0.500 0.500 0.500 P
0.000 0.000 0.500 H
0.000 0.500 0.000 H
0.500 0.000 0.000 H


[2]
PBE-GGA AcLa2IrPb, optimized geometry; spin magnetization = 0.00 μB/cell; crystal system = tetragonal; calculated formation energy = -0.52 eV per atom; mass density = 8.257 g/cm³
1.0
5.579 0.000 0.000
0.000 5.579 0.000
0.000 0.000 5.843
Ac La Ir Pb
1 2 1 1
direct
0.000 0.000 0.000 Ac
0.000 0.500 0.500 La
0.500 0.000 0.500 La
0.000 0.000 0.500 Ir
0.500 0.500 0.000 Pb